Record 1
Here is an optimized crystal structure of Pm2ErAu from Alexandria. Energies are from PBE-GGA.

Values from the calculation:
M_tot: 0.01 μB/f.u.
ΔH_f (0 K): -0.2380 eV/atom
SG: R3m, No. 160
Polymorph energy (0 for the lowest one): 172 meV per atom

a b c (Å): 10.319 10.319 10.319
angles (deg): 20.87 20.87 20.87
Fractional positions:
Pm 0.000 0.000 0.000
Pm 0.188 0.188 0.188
Er 0.427 0.427 0.427
Au 0.594 0.594 0.594

Record 2
Here is an optimized crystal structure of Pm3Er4Au4 from Alexandria. Energies are from PBE-GGA.

Values from the calculation:
M_tot: 0.00 μB/f.u.
ΔH_f (0 K): -0.5901 eV/atom
SG: Immm, No. 71

a b c (Å): 9.077 9.077 9.077
angles (deg): 149.09 129.47 60.42
Fractional positions:
Pm 0.000 0.000 0.000
Pm 0.396 0.896 0.500
Pm 0.604 0.104 0.500
Er 0.040 0.327 0.713
Er 0.386 0.673 0.713
Er 0.614 0.327 0.287
Er 0.960 0.673 0.287
Au 0.207 0.207 0.000
Au 0.310 0.500 0.810
Au 0.690 0.500 0.190
Au 0.793 0.793 0.000

Q: The highest M_tot belongs to which entry?
A: Pm2ErAu